# 1
Here is a geometry-optimized Pr3Ga2SnPt9 structure from Alexandria. Energies are from PBE-GGA.

Structure (POSCAR):
```
Pr3Ga2SnPt9
1.0
5.6972 0.0000 0.0000
-2.8486 4.9339 0.0000
0.0000 0.0000 12.1480
Ga Pt Pr Sn
2 9 3 1
direct
0.3333 0.6667 0.1629
0.6667 0.3333 0.8371
0.0000 0.5000 0.0000
0.5000 0.0000 0.0000
0.3321 0.1660 0.6785
0.1660 0.8340 0.3215
0.8340 0.1660 0.6785
0.5000 0.5000 0.0000
0.6679 0.8340 0.3215
0.8340 0.6679 0.6785
0.1660 0.3321 0.3215
0.3333 0.6667 0.7661
0.0000 0.0000 0.0000
0.6667 0.3333 0.2339
0.0000 0.0000 0.5000
```

---

# 2
Here is a geometry-optimized SrPrGaPt structure from Alexandria. Energies are from PBE-GGA.

Structure (POSCAR):
```
SrPrGaPt
1.0
5.2610 0.0000 0.0000
2.6305 4.5562 0.0000
2.6305 1.5187 4.2956
Pt Pr Ga Sr
1 1 1 1
direct
0.7500 0.7500 0.7500
0.0000 0.0000 0.0000
0.2500 0.2500 0.2500
0.5000 0.5000 0.5000
```

---

# 3
Here is a geometry-optimized Sr2PrGa3Pt4 structure from Alexandria. Energies are from PBE-GGA.

Structure (POSCAR):
```
Sr2PrGa3Pt4
1.0
4.4732 0.0000 0.0000
0.0000 4.4732 0.0000
0.0000 0.0000 11.2287
Ga Pt Pr Sr
3 4 1 2
direct
0.5000 0.0000 0.8874
0.0000 0.0000 0.5000
0.0000 0.5000 0.1126
0.0000 0.0000 0.0000
0.5000 0.0000 0.6615
0.0000 0.5000 0.3385
0.5000 0.5000 0.0000
0.5000 0.5000 0.5000
0.5000 0.0000 0.2226
0.0000 0.5000 0.7774
```

---

# 4
Here is a geometry-optimized TbPr2Ga4Pt3 structure from Alexandria. Energies are from PBE-GGA.

Structure (POSCAR):
```
TbPr2Ga4Pt3
1.0
4.2879 0.0000 0.0000
0.0000 4.2879 0.0000
0.0000 0.0000 11.5801
Pr Ga Pt Tb
2 4 3 1
direct
0.5000 0.0000 0.2264
0.0000 0.5000 0.7736
0.0000 0.0000 0.0000
0.5000 0.5000 0.0000
0.0000 0.5000 0.3343
0.5000 0.0000 0.6657
0.5000 0.0000 0.8787
0.0000 0.5000 0.1213
0.0000 0.0000 0.5000
0.5000 0.5000 0.5000
```

---

# 5
Here is a geometry-optimized TbPrGa2Pt2 structure from Alexandria. Energies are from PBE-GGA.

Structure (POSCAR):
```
TbPrGa2Pt2
1.0
4.4889 0.0000 0.0000
-2.2444 3.8875 0.0000
0.0000 0.0000 7.2771
Pr Pt Ga Tb
1 2 2 1
direct
0.0000 0.0000 0.0000
0.6667 0.3333 0.7285
0.3333 0.6667 0.2715
0.6667 0.3333 0.2705
0.3333 0.6667 0.7295
0.0000 0.0000 0.5000
```

---

# 6
Here is a geometry-optimized Tb2PrGa2Pt7 structure from Alexandria. Energies are from PBE-GGA.

Structure (POSCAR):
```
Tb2PrGa2Pt7
1.0
4.0944 0.0230 -0.0508
0.0280 4.0944 -0.0508
1.8544 1.8521 14.0004
Pt Tb Ga Pr
7 2 2 1
direct
0.0660 0.5657 0.8392
0.4343 0.9340 0.1608
0.9340 0.4343 0.1608
0.3554 0.3554 0.4349
0.5000 0.5000 0.0000
0.6446 0.6446 0.5651
0.5657 0.0660 0.8392
0.1293 0.1293 0.6401
0.8707 0.8707 0.3599
0.6070 0.6070 0.7379
0.3930 0.3930 0.2621
0.0000 0.0000 0.0000
```

---

# 7
Here is a geometry-optimized PrThGa2Pt5 structure from Alexandria. Energies are from PBE-GGA.

Structure (POSCAR):
```
PrThGa2Pt5
1.0
4.4015 0.0000 0.0000
0.0000 4.4015 0.0000
0.0000 0.0000 8.9575
Pt Pr Ga Th
5 1 2 1
direct
0.5000 0.5000 0.5000
0.5000 0.0000 0.2674
0.0000 0.5000 0.2674
0.0000 0.5000 0.7326
0.5000 0.0000 0.7326
0.0000 0.0000 0.5000
0.5000 0.5000 0.1383
0.5000 0.5000 0.8617
0.0000 0.0000 0.0000
```

---

# 8
Here is a geometry-optimized Pr2TlGa3Pt4 structure from Alexandria. Energies are from PBE-GGA.

Structure (POSCAR):
```
Pr2TlGa3Pt4
1.0
4.1908 0.0000 0.0000
0.0000 4.1908 0.0000
0.0000 0.0000 11.6679
Pt Ga Tl Pr
4 3 1 2
direct
0.0000 0.0000 0.0000
0.5000 0.5000 0.0000
0.5000 0.0000 0.6624
0.0000 0.5000 0.3376
0.0000 0.0000 0.5000
0.0000 0.5000 0.1250
0.5000 0.0000 0.8750
0.5000 0.5000 0.5000
0.5000 0.0000 0.2409
0.0000 0.5000 0.7591
```

---

# 9
Here is a geometry-optimized PrTmGa2Pt2 structure from Alexandria. Energies are from PBE-GGA.

Structure (POSCAR):
```
PrTmGa2Pt2
1.0
-3.8281 1.3667 1.8827
0.5107 -4.2926 -1.1746
2.6704 -1.4575 6.4876
Tm Ga Pt Pr
1 2 2 1
direct
0.0000 0.0000 0.5000
0.3333 0.6667 0.2790
0.6667 0.3333 0.7210
0.3333 0.6667 0.7192
0.6667 0.3333 0.2808
0.0000 0.0000 0.0000
```

---

# 10
Here is a geometry-optimized PrTmGa2Pt5 structure from Alexandria. Energies are from PBE-GGA.

Structure (POSCAR):
```
PrTmGa2Pt5
1.0
4.2286 0.0000 0.0000
0.0000 4.2286 0.0000
0.0000 0.0000 9.3639
Pr Ga Pt Tm
1 2 5 1
direct
0.0000 0.0000 0.5000
0.5000 0.5000 0.8711
0.5000 0.5000 0.1289
0.0000 0.5000 0.7330
0.5000 0.0000 0.2670
0.5000 0.5000 0.5000
0.5000 0.0000 0.7330
0.0000 0.5000 0.2670
0.0000 0.0000 0.0000
```

---

# 11
PrYGaPt PBE-GGA relaxed; energy above the lowest structure with this stoichiometry = 0.0 meV per atom
1.0
-3.4311 -1.9251 -0.1565
1.4605 -2.3254 -3.4151
3.7546 -2.9595 3.6209
Y Ga Pt Pr
1 1 1 1
direct
0.8625 0.5000 0.7250
0.5693 0.5000 0.1387
0.4207 0.0000 0.8414
0.1475 0.0000 0.2949

---

# 12
PrYGaPt PBE-GGA relaxed; energy above the lowest structure with this stoichiometry = 98.9 meV per atom
1.0
-0.6542 1.7644 4.7647
-0.3758 -3.2801 3.9170
3.8049 -0.3631 3.4109
Y Pt Ga Pr
1 1 1 1
direct
0.5000 0.5000 0.5000
0.7500 0.7500 0.7500
0.2500 0.2500 0.2500
0.0000 0.0000 0.0000

---

Values for energy, Ry per atom, ordered as above
-0.439; -0.329; -0.366; -0.391; -0.413; -0.450; -0.461; -0.392; -0.413; -0.435; -0.437; -0.430